[1]
Compound: CsSe2S
Source: Alexandria via LeMat-Bulk
Functional: GGA-PBE
Structure: optimized geometry

Lattice parameters (Å, degrees): 6.841 6.841 6.841 41.29 41.29 41.29
Fractional coordinates of all 4 atoms:
Se  0.184  0.184  0.184
Cs  0.000  0.000  0.000
Se  0.816  0.816  0.816
S  0.500  0.500  0.500

electronic total energy = -12.67 eV for the cell shown
ΔE_f (raw) = -0.18 eV per atom
SG = R-3m (166)
size of the total moment = 0.00 Bohr magnetons per cell

=====

[2]
Compound: InOs3N
Source: Alexandria via LeMat-Bulk
Functional: GGA-PBE
Structure: optimized geometry

Lattice parameters (Å, degrees): 4.923 4.923 4.923 90.00 90.00 90.00
Fractional coordinates of all 5 atoms:
N  0.500  0.500  0.500
Os  0.000  0.500  0.000
Os  0.000  0.000  0.500
Os  0.500  0.000  0.000
In  0.000  0.000  0.000

energy relative to the lowest polymorph listed for this composition = 3.5492 eV per atom
electronic total energy = -23.51 eV for the cell shown
ΔE_f (raw) = 4.25 eV per atom
SG = Pm-3m (221)
size of the total moment = 6.81 Bohr magnetons per cell

=====

[3]
Compound: V2Fe3Ni4
Source: Alexandria via LeMat-Bulk
Functional: GGA-PBE
Structure: optimized geometry

Lattice parameters (Å, degrees): 3.549 4.460 7.480 74.27 76.28 66.55
Fractional coordinates of all 9 atoms:
Fe  0.000  0.000  0.000
Ni  0.998  0.336  0.669
Ni  0.668  0.555  0.109
V  0.667  0.889  0.776
Ni  0.002  0.664  0.331
V  0.333  0.111  0.224
Fe  0.665  0.228  0.443
Ni  0.332  0.445  0.891
Fe  0.335  0.772  0.557

calculated formation energy = -0.1226 eV/atom
electronic total energy = -67.85 eV for the cell shown
SG = C2/m (12)
size of the total moment = 6.15 Bohr magnetons per cell